Entry 1:
Entry from Alexandria: an optimized crystal structure of SrTbBN2 (PBE-GGA).

a b c (Å): 5.1190 5.3696 6.8547
angles (deg): 90.02 90.00 90.00
Atoms (fractional coordinates):
Sr 0.0010 0.5000 0.7500
Sr 0.9990 0.5000 0.2500
Tb 0.4995 0.0000 0.2500
Tb 0.5005 0.0000 0.7500
B 0.0000 0.0000 0.0000
B 0.0000 0.0000 0.5000
N 0.7854 0.8495 0.0002
N 0.7854 0.1505 0.4998
N 0.2146 0.8495 0.5002
N 0.2146 0.1505 0.9998

Energy ... -6.75 eV/atom

***

Entry 2:
Entry from Alexandria: an optimized crystal structure of Sr3TcB2N6 (PBE-GGA).

a b c (Å): 5.4224 5.4224 6.3966
angles (deg): 90.00 90.00 120.00
Atoms (fractional coordinates):
Sr 0.3333 0.6667 0.6970
Sr 0.6667 0.3333 0.3030
Sr 0.0000 0.0000 0.0000
Tc 0.0000 0.0000 0.5000
B 0.6667 0.3333 0.7052
B 0.3333 0.6667 0.2948
N 0.6448 0.8224 0.3081
N 0.1776 0.3552 0.3081
N 0.1776 0.8224 0.3081
N 0.8224 0.6448 0.6919
N 0.3552 0.1776 0.6919
N 0.8224 0.1776 0.6919

Energy ... -7.19 eV/atom

***

Entry 3:
Entry from Alexandria: an optimized crystal structure of SrBTe2N (PBE-GGA).

a b c (Å): 6.4137 6.4137 2.8219
angles (deg): 90.00 90.00 90.00
Atoms (fractional coordinates):
Sr 0.5000 0.5000 0.5000
B 0.0000 0.0000 0.0000
Te 0.0000 0.5000 0.0000
Te 0.5000 0.0000 0.0000
N 0.0000 0.0000 0.5000

Energy ... -4.78 eV/atom
Energy relative to the lowest polymorph listed for this composition ... 0.0000 eV per atom

***

Number 1: uncorrected formation energy -0.821 eV per atom. Number 2: uncorrected formation energy -0.633 eV per atom. Number 3: uncorrected formation energy -0.186 eV per atom.